No. 1
# Pm5Pr6Sm, relaxed, DFT GGA-PBE
# - Total magnetization: 0.000 μB/cell
# - Density: 6761 kg/m3
# - Raw total energy: -4.750 eV per atom
data_Pm5Pr6Sm
_chemical_formula_sum 'Pm5 Pr6 Sm1'
_symmetry_space_group_name_H-M 'P -1'
_symmetry_Int_Tables_number 2
_symmetry_space_group_name_Hall '-P 1'
_cell_length_a 5.211
_cell_length_b 9.721
_cell_length_c 9.736
_cell_angle_alpha 64.60
_cell_angle_beta 74.53
_cell_angle_gamma 74.46
loop_
_atom_site_label
_atom_site_type_symbol
_atom_site_fract_x
_atom_site_fract_y
_atom_site_fract_z
Pm1 Pm 0.000 0.000 0.000
Pm2 Pm 0.333 0.167 0.167
Pm3 Pm 0.334 0.666 0.666
Pr1 Pr 0.167 0.084 0.583
Pr2 Pr 0.167 0.583 0.084
Pr3 Pr 0.500 0.250 0.750
Sm1 Sm 0.000 0.500 0.500

=====

No. 2
# PmPr3Sm6, relaxed, DFT GGA-PBE
# - Total magnetization: 0.001 μB/cell
# - Density: 6967 kg/m3
# - Raw total energy: -4.488 eV per atom
data_PmPr3Sm6
_chemical_formula_sum 'Pm3 Pr9 Sm18'
_symmetry_space_group_name_H-M 'R 3'
_symmetry_Int_Tables_number 146
_symmetry_space_group_name_Hall 'R 3'
_cell_length_a 10.0816
_cell_length_b 10.0816
_cell_length_c 11.9402
_cell_angle_alpha 90.00
_cell_angle_beta 90.00
_cell_angle_gamma 120.00
loop_
_atom_site_label
_atom_site_type_symbol
_atom_site_fract_x
_atom_site_fract_y
_atom_site_fract_z
Pm1 Pm 0.0000 0.0000 0.0000
Pr1 Pr 0.0000 0.0000 0.2494
Pr2 Pr 0.0000 0.0000 0.4999
Pr3 Pr 0.0000 0.0000 0.7508
Sm1 Sm 0.0010 0.6752 0.7508
Sm2 Sm 0.0084 0.3409 0.9171

=====

No. 3
# Pm2PrSm, relaxed, DFT GGA-PBE
# - Total magnetization: 0.000 μB/cell
# - Density: 6937 kg/m3
# - Energy relative to the lowest polymorph listed for this composition: 0.01 eV per formula unit
data_Pm2PrSm
_chemical_formula_sum 'Pm6 Pr3 Sm3'
_symmetry_space_group_name_H-M 'R 3 m'
_symmetry_Int_Tables_number 160
_symmetry_space_group_name_Hall 'R 3 -2"'
_cell_length_a 3.6730
_cell_length_b 3.6730
_cell_length_c 35.7254
_cell_angle_alpha 90.00
_cell_angle_beta 90.00
_cell_angle_gamma 120.00
loop_
_atom_site_label
_atom_site_type_symbol
_atom_site_fract_x
_atom_site_fract_y
_atom_site_fract_z
Pm1 Pm 0.0000 0.0000 0.0000
Pm2 Pm 0.0000 0.0000 0.1689
Pr1 Pr 0.0000 0.0000 0.4179
Sm1 Sm 0.0000 0.0000 0.5847

=====

No. 4
# Pm6PrSm, relaxed, DFT GGA-PBE
# - Total magnetization: 0.000 μB/cell
# - Density: 6979 kg/m3
# - Raw total energy: -4.736 eV per atom
data_Pm6PrSm
_chemical_formula_sum 'Pm6 Pr1 Sm1'
_symmetry_space_group_name_H-M 'P 4/m m m'
_symmetry_Int_Tables_number 123
_symmetry_space_group_name_Hall '-P 4 2'
_cell_length_a 7.314
_cell_length_b 7.314
_cell_length_c 5.165
_cell_angle_alpha 90.00
_cell_angle_beta 90.00
_cell_angle_gamma 90.00
loop_
_atom_site_label
_atom_site_type_symbol
_atom_site_fract_x
_atom_site_fract_y
_atom_site_fract_z
Pm1 Pm 0.000 0.500 0.000
Pm2 Pm 0.249 0.249 0.500
Pr1 Pr 0.500 0.500 0.000
Sm1 Sm 0.000 0.000 0.000

=====

No. 5
# Pm5PrSm8, relaxed, DFT GGA-PBE
# - Total magnetization: 0.000 μB/cell
# - Density: 7035 kg/m3
# - Raw total energy: -4.508 eV per atom
data_Pm5PrSm8
_chemical_formula_sum 'Pm10 Pr2 Sm16'
_symmetry_space_group_name_H-M 'I -4'
_symmetry_Int_Tables_number 82
_symmetry_space_group_name_Hall 'I -4'
_cell_length_a 9.688
_cell_length_b 9.688
_cell_length_c 10.406
_cell_angle_alpha 90.00
_cell_angle_beta 90.00
_cell_angle_gamma 90.00
loop_
_atom_site_label
_atom_site_type_symbol
_atom_site_fract_x
_atom_site_fract_y
_atom_site_fract_z
Pm1 Pm 0.000 0.000 0.000
Pm2 Pm 0.109 0.790 0.427
Pr1 Pr 0.000 0.500 0.750
Sm1 Sm 0.072 0.677 0.103
Sm2 Sm 0.083 0.820 0.754

=====

No. 6
# PmPr12Sm6, relaxed, DFT GGA-PBE
# - Total magnetization: 0.000 μB/cell
# - Density: 6376 kg/m3
# - Energy relative to the lowest polymorph listed for this composition: 3.43 eV per formula unit
data_PmPr12Sm6
_chemical_formula_sum 'Pm3 Pr36 Sm18'
_symmetry_space_group_name_H-M 'R -3 m'
_symmetry_Int_Tables_number 166
_symmetry_space_group_name_Hall '-R 3 2"'
_cell_length_a 16.3946
_cell_length_b 16.3946
_cell_length_c 9.1904
_cell_angle_alpha 90.00
_cell_angle_beta 90.00
_cell_angle_gamma 120.00
loop_
_atom_site_label
_atom_site_type_symbol
_atom_site_fract_x
_atom_site_fract_y
_atom_site_fract_z
Pm1 Pm 0.0000 0.0000 0.0000
Pr1 Pr 0.0000 0.3920 0.5000
Pr2 Pr 0.0851 0.1702 0.1743
Sm1 Sm 0.0797 0.5398 0.1844

=====

No. 7
# Pm2Pr12Sm, relaxed, DFT GGA-PBE
# - Total magnetization: 0.000 μB/cell
# - Density: 6192 kg/m3
# - Raw total energy: -4.472 eV per atom
data_Pm2Pr12Sm
_chemical_formula_sum 'Pm4 Pr24 Sm2'
_symmetry_space_group_name_H-M 'P 4/n b m'
_symmetry_Int_Tables_number 125
_cell_length_a 6.660
_cell_length_b 6.660
_cell_length_c 25.771
_cell_angle_alpha 90.00
_cell_angle_beta 90.00
_cell_angle_gamma 90.00
loop_
_symmetry_equiv_pos_as_xyz
'x,y,z'
'-x,-y,-z'
'-y+1/2,x,z'
'y+1/2,-x,-z'
'-x+1/2,-y+1/2,z'
'x+1/2,y+1/2,-z'
'y,-x+1/2,z'
'-y,x+1/2,-z'
'x,-y+1/2,-z'
'-x,y+1/2,z'
'-y+1/2,-x+1/2,-z'
'y+1/2,x+1/2,z'
'-x+1/2,y,-z'
'x+1/2,-y,z'
'y,x,-z'
'-y,-x,z'
loop_
_atom_site_label
_atom_site_type_symbol
_atom_site_fract_x
_atom_site_fract_y
_atom_site_fract_z
Pm1 Pm 0.250 0.750 0.232
Pr1 Pr 0.065 0.565 0.386
Pr2 Pr 0.082 0.582 0.062
Pr3 Pr 0.250 0.250 0.162
Pr4 Pr 0.250 0.250 0.285
Sm1 Sm 0.250 0.750 0.500

=====

No. 8
# Pm9Pr11Sm4, relaxed, DFT GGA-PBE
# - Total magnetization: 0.001 μB/cell
# - Density: 6736 kg/m3
# - Raw total energy: -4.700 eV per atom
data_Pm9Pr11Sm4
_chemical_formula_sum 'Pm18 Pr22 Sm8'
_symmetry_space_group_name_H-M 'C m m m'
_symmetry_Int_Tables_number 65
_symmetry_space_group_name_Hall '-C 2 2'
_cell_length_a 17.296
_cell_length_b 26.357
_cell_length_c 3.739
_cell_angle_alpha 90.00
_cell_angle_beta 90.00
_cell_angle_gamma 90.00
loop_
_atom_site_label
_atom_site_type_symbol
_atom_site_fract_x
_atom_site_fract_y
_atom_site_fract_z
Pm1 Pm 0.000 0.000 0.000
Pm2 Pm 0.102 0.233 0.000
Pm3 Pm 0.137 0.426 0.000
Pr1 Pr 0.000 0.131 0.500
Pr2 Pr 0.000 0.338 0.500
Pr3 Pr 0.000 0.500 0.500
Pr4 Pr 0.210 0.000 0.500
Pr5 Pr 0.222 0.319 0.500
Sm1 Sm 0.158 0.101 0.000

=====

No. 9
# Pm3Pr2Sm5, relaxed, DFT GGA-PBE
# - Total magnetization: 0.000 μB/cell
# - Density: 7000 kg/m3
# - Energy relative to the lowest polymorph listed for this composition: 0.00 eV per formula unit
data_Pm3Pr2Sm5
_chemical_formula_sum 'Pm12 Pr8 Sm20'
_symmetry_space_group_name_H-M 'C 1 2/c 1'
_symmetry_Int_Tables_number 15
_symmetry_space_group_name_Hall '-C 2yc'
_cell_length_a 10.960
_cell_length_b 16.750
_cell_length_c 9.359
_cell_angle_alpha 90.00
_cell_angle_beta 125.80
_cell_angle_gamma 90.00
loop_
_atom_site_label
_atom_site_type_symbol
_atom_site_fract_x
_atom_site_fract_y
_atom_site_fract_z
Pm1 Pm 0.000 0.225 0.250
Pm2 Pm 0.145 0.125 0.043
Pr1 Pr 0.148 0.376 0.544
Sm1 Sm 0.000 0.026 0.250
Sm2 Sm 0.000 0.277 0.750
Sm3 Sm 0.000 0.473 0.750
Sm4 Sm 0.248 0.376 0.245

=====

No. 10
# Pm12Pr2Sm, relaxed, DFT GGA-PBE
# - Total magnetization: 0.000 μB/cell
# - Density: 6537 kg/m3
# - Raw total energy: -4.453 eV per atom
data_Pm12Pr2Sm
_chemical_formula_sum 'Pm24 Pr4 Sm2'
_symmetry_space_group_name_H-M 'P 4/n b m'
_symmetry_Int_Tables_number 125
_cell_length_a 6.577
_cell_length_b 6.577
_cell_length_c 25.517
_cell_angle_alpha 90.00
_cell_angle_beta 90.00
_cell_angle_gamma 90.00
loop_
_symmetry_equiv_pos_as_xyz
'x,y,z'
'-x,-y,-z'
'-y+1/2,x,z'
'y+1/2,-x,-z'
'-x+1/2,-y+1/2,z'
'x+1/2,y+1/2,-z'
'y,-x+1/2,z'
'-y,x+1/2,-z'
'x,-y+1/2,-z'
'-x,y+1/2,z'
'-y+1/2,-x+1/2,-z'
'y+1/2,x+1/2,z'
'-x+1/2,y,-z'
'x+1/2,-y,z'
'y,x,-z'
'-y,-x,z'
loop_
_atom_site_label
_atom_site_type_symbol
_atom_site_fract_x
_atom_site_fract_y
_atom_site_fract_z
Pm1 Pm 0.065 0.565 0.114
Pm2 Pm 0.082 0.582 0.562
Pm3 Pm 0.250 0.250 0.215
Pm4 Pm 0.250 0.250 0.338
Pr1 Pr 0.250 0.750 0.268
Sm1 Sm 0.250 0.750 0.000

=====

No. 11
# Pm8Pr4Sm3, relaxed, DFT GGA-PBE
# - Total magnetization: 0.001 μB/cell
# - Density: 6806 kg/m3
# - Energy relative to the lowest polymorph listed for this composition: 0.00 eV per formula unit
data_Pm8Pr4Sm3
_chemical_formula_sum 'Pm24 Pr12 Sm9'
_symmetry_space_group_name_H-M 'R -3 m'
_symmetry_Int_Tables_number 166
_symmetry_space_group_name_Hall '-R 3 2"'
_cell_length_a 7.1040
_cell_length_b 7.1040
_cell_length_c 36.4219
_cell_angle_alpha 90.00
_cell_angle_beta 90.00
_cell_angle_gamma 120.00
loop_
_atom_site_label
_atom_site_type_symbol
_atom_site_fract_x
_atom_site_fract_y
_atom_site_fract_z
Pm1 Pm 0.0000 0.0000 0.2460
Pm2 Pm 0.0018 0.5009 0.7508
Pr1 Pr 0.0000 0.0000 0.0000
Pr2 Pr 0.0000 0.0000 0.3362
Pr3 Pr 0.0000 0.0000 0.5000
Sm1 Sm 0.0000 0.5000 0.5000

=====

No. 12
# Pm2Pr4Sm3, relaxed, DFT GGA-PBE
# - Total magnetization: 0.000 μB/cell
# - Density: 6875 kg/m3
# - Energy relative to the lowest polymorph listed for this composition: 0.31 eV per formula unit
data_Pm2Pr4Sm3
_chemical_formula_sum 'Pm4 Pr8 Sm6'
_symmetry_space_group_name_H-M 'C 1 2/m 1'
_symmetry_Int_Tables_number 12
_symmetry_space_group_name_Hall '-C 2y'
_cell_length_a 11.744
_cell_length_b 5.902
_cell_length_c 9.318
_cell_angle_alpha 90.00
_cell_angle_beta 102.59
_cell_angle_gamma 90.00
loop_
_atom_site_label
_atom_site_type_symbol
_atom_site_fract_x
_atom_site_fract_y
_atom_site_fract_z
Pm1 Pm 0.065 0.000 0.297
Pr1 Pr 0.182 0.000 0.957
Pr2 Pr 0.231 0.500 0.372
Sm1 Sm 0.000 0.500 0.000
Sm2 Sm 0.110 0.500 0.682